First-principles (PBE+U) data for a relaxed structure of V2WO6, as listed in the Alexandria database.

a b c (Å): 4.693 4.693 9.208
angles (deg): 90.00 90.00 90.00
Last column: magnetic moment on the atom in μB.
Fractional positions:
V (0.500, 0.500, 0.166)  1.92
V (0.000, 0.000, 0.334)  1.92
V (0.000, 0.000, 0.666)  1.92
V (0.500, 0.500, 0.834)  1.92
W (0.000, 0.000, 0.000)  0.12
W (0.500, 0.500, 0.500)  0.12
O (0.294, 0.294, 0.000)  -0.03
O (0.206, 0.794, 0.500)  -0.03
O (0.794, 0.206, 0.500)  -0.03
O (0.706, 0.706, 0.000)  -0.03
O (0.696, 0.696, 0.659)  -0.03
O (0.304, 0.304, 0.659)  -0.03
O (0.696, 0.696, 0.341)  -0.03
O (0.196, 0.804, 0.159)  -0.03
O (0.804, 0.196, 0.159)  -0.03
O (0.804, 0.196, 0.841)  -0.03
O (0.196, 0.804, 0.841)  -0.03
O (0.304, 0.304, 0.341)  -0.03

Results
Space group   No. 136
Theoretical density   6.25 g/cm³
Energy relative to the lowest polymorph listed for this composition   0.0 kJ/mol of formula units